# HPb2WO6

HPb2WO6 after structural relaxation (PBE+U, Alexandria).

The density of states at the Fermi level is 6.64 states/eV per cell. As for the calculated total energy: -0.217 hartree per atom. Its volume is 267 Å³ per cell.

The structure belongs to space group P2_1/c (No. 14); the cell edges are 5.504, 4.533 and 12.043 Å and the angles 90.00°, 117.11° and 90.00°. The distinct sites, in fractional coordinates, are H at (0.000, 0.000, 0.000), Pb at (0.187, 0.003, 0.687), W at (0.500, 0.000, 0.500), O at (0.166, 0.237, 0.999), O at (0.228, 0.734, 0.869) and O at (0.484, 0.736, 0.129).